Record 1
Crystalline AuC at its relaxed geometry. Source: the Alexandria database, functional PBE-GGA.

```
AuC
1.0
2.9836 0.0000 0.0000
0.0000 2.9836 0.0000
0.0000 0.0000 3.9016
Au C
1 1
direct
0.0000 0.0000 0.0000
0.0000 0.0000 0.5000
```

## Properties
ΔE to the lowest computed polymorph	168.9	kJ/mol of atoms
energy	-8.4	eV/cell
energy of formation from the pure elements	4.1	eV/f.u.
volume	34.7	Å³ per cell
space-group type	P4/mmm, No. 123

Record 2
Crystalline AuC at its relaxed geometry. Source: the Alexandria database, functional PBE-GGA.

```
AuC
1.0
8.9628 0.0000 0.0000
0.0000 3.7907 0.0000
0.0000 0.0000 5.7964
Au C
6 6
direct
0.0000 0.0113 0.0000
0.2240 0.6487 0.6547
0.2760 0.3513 0.1547
0.5000 0.9887 0.5000
0.7240 0.3513 0.1547
0.7760 0.6487 0.6547
0.0000 0.5125 0.8117
0.2224 0.8467 0.0074
0.2776 0.1533 0.5074
0.5000 0.4875 0.3117
0.7224 0.1533 0.5074
0.7776 0.8467 0.0074
```

## Properties
ΔE to the lowest computed polymorph	160.6	kJ/mol of atoms
energy	-51.6	eV/cell
energy of formation from the pure elements	3.9	eV/f.u.
volume	196.9	Å³ per cell
space-group type	Pmn2_1, No. 31

Record 3
Crystalline AuC at its relaxed geometry. Source: the Alexandria database, functional PBE-GGA.

```
AuC
1.0
3.2066 0.0000 0.0000
0.0000 3.1983 0.0000
-0.8390 0.0000 3.1882
Au C
1 1
direct
0.0000 0.0000 0.0000
0.5857 0.0000 0.4167
```

## Properties
ΔE to the lowest computed polymorph	164.7	kJ/mol of atoms
energy	-8.5	eV/cell
energy of formation from the pure elements	4.0	eV/f.u.
volume	32.7	Å³ per cell
space-group type	Pm, No. 6

Record 4
Crystalline AuC3 at its relaxed geometry. Source: the Alexandria database, functional PBE-GGA.

```
AuC3
1.0
4.8196 -7.9773 0.0000
4.8196 7.9773 0.0000
0.0000 0.0000 2.5604
Au C
2 6
direct
0.2504 0.7496 0.7500
0.7496 0.2504 0.2500
0.0000 0.0000 0.2500
0.0000 0.0000 0.7500
0.0305 0.5303 0.7500
0.4697 0.9695 0.7500
0.5303 0.0305 0.2500
0.9695 0.4697 0.2500
```

## Properties
ΔE to the lowest computed polymorph	2.2	kJ/mol of atoms
energy	-54.8	eV/cell
energy of formation from the pure elements	3.5	eV/f.u.
volume	196.9	Å³ per cell
space-group type	Cmcm, No. 63

Record 5
Crystalline AuC5 at its relaxed geometry. Source: the Alexandria database, functional PBE-GGA.

```
AuC5
1.0
4.8407 0.0000 0.0000
-2.4204 4.1922 0.0000
0.0000 0.0000 2.4714
Au C
1 5
direct
0.0000 0.0000 0.0000
0.0000 0.5000 0.5000
0.3333 0.6667 0.0000
0.5000 0.0000 0.5000
0.5000 0.5000 0.5000
0.6667 0.3333 0.0000
```

## Properties
ΔE to the lowest computed polymorph	204.6	kJ/mol of atoms
energy	-30.6	eV/cell
energy of formation from the pure elements	18.8	eV/f.u.
volume	50.2	Å³ per cell
space-group type	P6/mmm, No. 191

Record 6
Crystalline AuC at its relaxed geometry. Source: the Alexandria database, functional PBE-GGA.

```
AuC
1.0
5.9808 0.0000 0.0000
0.0000 3.0050 0.0000
0.0000 0.0000 6.4253
Au C
4 4
direct
0.1824 0.2500 0.2106
0.3176 0.7500 0.7106
0.6824 0.2500 0.2894
0.8176 0.7500 0.7894
0.1286 0.2500 0.8619
0.3714 0.7500 0.3619
0.6286 0.2500 0.6381
0.8714 0.7500 0.1381
```

## Properties
ΔE to the lowest computed polymorph	161.1	kJ/mol of atoms
energy	-34.4	eV/cell
energy of formation from the pure elements	3.9	eV/f.u.
volume	115.5	Å³ per cell
space-group type	Pnma, No. 62

Record 7
Crystalline AuC at its relaxed geometry. Source: the Alexandria database, functional PBE-GGA.

```
AuC
1.0
1.8041 1.0416 5.6546
-1.8041 1.0416 5.6546
0.0000 -2.0832 5.6546
Au C
2 2
direct
0.0890 0.0890 0.0890
0.9110 0.9110 0.9110
0.2387 0.2387 0.2387
0.7613 0.7613 0.7613
```

## Properties
ΔE to the lowest computed polymorph	166.3	kJ/mol of atoms
energy	-17.0	eV/cell
energy of formation from the pure elements	4.0	eV/f.u.
volume	63.8	Å³ per cell
space-group type	R-3m, No. 166

Record 8
Crystalline AuC at its relaxed geometry. Source: the Alexandria database, functional PBE-GGA.

```
AuC
1.0
2.6401 0.0000 0.0000
0.0000 2.6401 0.0000
0.0000 0.0000 7.2480
Au C
2 2
direct
0.2500 0.2500 0.1728
0.7500 0.7500 0.8272
0.2500 0.2500 0.4768
0.7500 0.7500 0.5232
```

## Properties
ΔE to the lowest computed polymorph	141.0	kJ/mol of atoms
energy	-18.0	eV/cell
energy of formation from the pure elements	3.5	eV/f.u.
volume	50.5	Å³ per cell
space-group type	P4/nmm, No. 129

Copy entry 1 word for word.
Crystalline AuC at its relaxed geometry. Source: the Alexandria database, functional PBE-GGA.

```
AuC
1.0
2.9836 0.0000 0.0000
0.0000 2.9836 0.0000
0.0000 0.0000 3.9016
Au C
1 1
direct
0.0000 0.0000 0.0000
0.0000 0.0000 0.5000
```

## Properties
ΔE to the lowest computed polymorph	168.9	kJ/mol of atoms
energy	-8.4	eV/cell
energy of formation from the pure elements	4.1	eV/f.u.
volume	34.7	Å³ per cell
space-group type	P4/mmm, No. 123

Copy entry 3 word for word.
Crystalline AuC at its relaxed geometry. Source: the Alexandria database, functional PBE-GGA.

```
AuC
1.0
3.2066 0.0000 0.0000
0.0000 3.1983 0.0000
-0.8390 0.0000 3.1882
Au C
1 1
direct
0.0000 0.0000 0.0000
0.5857 0.0000 0.4167
```

## Properties
ΔE to the lowest computed polymorph	164.7	kJ/mol of atoms
energy	-8.5	eV/cell
energy of formation from the pure elements	4.0	eV/f.u.
volume	32.7	Å³ per cell
space-group type	Pm, No. 6

Question: Which of these has the highest energy?
Answer: number 1